DFT (PBE) results for crystalline MoRh at its relaxed geometry.

Cell lengths 2.746, 2.746, 3.939 Å; angles 90.00, 90.00, 90.00 degrees
Space group P4/mmm (No. 123)
Inequivalent atoms, fractional coordinates:
Mo 0.000 0.000 0.000 x1
Rh 0.500 0.500 0.500 x1

Output
energy	-9.2706	eV per atom
calculated volume	29.70	Å³ per cell
total magnetization	0.00	μB per cell
DOS(E_F)	0.778	states/eV/atom
theoretical density	11.12	g/cm3